Below is crystalline EuTm2 at its relaxed geometry, with properties calculated at the PBE level.

Calculated values
The value obtained for the energy relative to the lowest polymorph listed for this composition is 161 meV/atom. Its space group is Fd-3m (227). As for the calculated density: 7.42 g cm⁻³. The calculation puts the magnetization at 8.45 μB per formula unit. The value obtained for the formation energy is 22.92 kJ/mol of atoms.

Cell: 6.767 6.767 6.767 Å, 60.00 60.00 60.00°
Atoms (fractional coordinates):
Eu 0.000 0.000 0.000
Eu 0.250 0.250 0.250
Tm 0.125 0.625 0.625
Tm 0.625 0.125 0.625
Tm 0.625 0.625 0.625
Tm 0.625 0.625 0.125

Below is crystalline Na2LaInPb2 at its relaxed geometry, with properties calculated at the PBE level.

Calculated values
Its space group is Pmc2_1 (26). As for the calculated density: 6.37 g cm⁻³. The calculation puts the magnetization at 0.00 μB per formula unit. The value obtained for the formation energy is -31.81 kJ/mol of atoms.

Cell: 4.798 8.049 9.638 Å, 90.00 90.00 90.00°
Atoms (fractional coordinates):
Na 0.500 0.041 0.074
Na 0.000 0.356 0.168
Na 0.500 0.541 0.926
Na 0.000 0.856 0.832
La 0.000 0.979 0.446
La 0.000 0.479 0.554
In 0.500 0.150 0.678
In 0.500 0.650 0.322
Pb 0.000 0.257 0.847
Pb 0.500 0.263 0.372
Pb 0.000 0.757 0.153
Pb 0.500 0.763 0.628